No. 1
# YbAu6

An optimized crystal structure of YbAu6 (PBE, Alexandria via LeMat-Bulk).

a b c (Å): 7.4574 7.4574 7.4574
angles (deg): 90.00 90.00 90.00
Closest atoms and distances in Å follow each position.
Positions (direct):
Yb1 0.0000 0.0000 0.0000  24 Au 4.17
Yb2 0.5000 0.5000 0.5000  24 Au 4.17
Au1 0.0000 0.2500 0.5000  4 Au 2.64
Au2 0.0000 0.5000 0.2500  4 Au 2.64
Au3 0.0000 0.5000 0.7500  4 Au 2.64
Au4 0.0000 0.7500 0.5000  4 Au 2.64
Au5 0.2500 0.0000 0.5000  4 Au 2.64
Au6 0.2500 0.5000 0.0000  4 Au 2.64
Au7 0.5000 0.0000 0.2500  4 Au 2.64
Au8 0.5000 0.0000 0.7500  4 Au 2.64
Au9 0.5000 0.2500 0.0000  4 Au 2.64
Au10 0.5000 0.7500 0.0000  4 Au 2.64
Au11 0.7500 0.0000 0.5000  4 Au 2.64
Au12 0.7500 0.5000 0.0000  4 Au 2.64

- Raw total energy: -19.27 eV per formula unit
- Space-group type: Im-3m
- Energy of formation: 26.4 kJ/mol of atoms
- Crystal system: cubic

=====

No. 2
# Yb7Au3

An optimized crystal structure of Yb7Au3 (PBE, Alexandria via LeMat-Bulk).

a b c (Å): 10.2887 10.2887 6.4034
angles (deg): 90.00 90.00 120.00
Closest atoms and distances in Å follow each position.
Positions (direct):
Yb1 0.0788 0.5394 0.0000  2 Au 3.02
Yb2 0.1262 0.2523 0.2778  3 Au 3.00-3.05
Yb3 0.1262 0.8738 0.2778  3 Au 3.00-3.05
Yb4 0.2523 0.1262 0.7778  3 Au 3.00-3.05
Yb5 0.3333 0.6667 0.4840  3 Au 2.98
Yb6 0.4606 0.5394 0.0000  2 Au 3.02
Yb7 0.4606 0.9212 0.0000  2 Au 3.02
Yb8 0.5394 0.0788 0.5000  2 Au 3.02
Yb9 0.5394 0.4606 0.5000  2 Au 3.02
Yb10 0.6667 0.3333 0.9840  3 Au 2.98
Yb11 0.7477 0.8738 0.2778  3 Au 3.00-3.05
Yb12 0.8738 0.1262 0.7778  3 Au 3.00-3.05
Yb13 0.8738 0.7477 0.7778  3 Au 3.00-3.05
Yb14 0.9212 0.4606 0.5000  2 Au 3.02
Au1 0.1895 0.3791 0.7205  6 Yb 2.98-3.05
Au2 0.1895 0.8105 0.7205  6 Yb 2.98-3.05
Au3 0.3791 0.1895 0.2205  6 Yb 2.98-3.05
Au4 0.6209 0.8105 0.7205  6 Yb 2.98-3.05
Au5 0.8105 0.1895 0.2205  6 Yb 2.98-3.05
Au6 0.8105 0.6209 0.2205  6 Yb 2.98-3.05

- Raw total energy: -27.23 eV per formula unit
- Space-group type: P6_3mc
- Energy of formation: -64.8 kJ/mol of atoms
- Crystal system: hexagonal